Compound: K2V3SnF12
Source: the Alexandria database
Functional: GGA+U
Structure: relaxed

Cell lengths 7.385, 7.385, 7.385 Å; angles 62.43, 62.43, 62.43 degrees
Last column: magnetic moment on the atom in μB.
Positions (direct):
F: 0.291 0.902 0.291  0.00
F: 0.709 0.709 0.098  0.00
F: 0.117 0.117 0.603  0.00
F: 0.902 0.291 0.291  0.00
F: 0.291 0.291 0.902  0.00
F: 0.117 0.603 0.117  0.00
F: 0.883 0.397 0.883  0.00
F: 0.883 0.883 0.397  0.00
F: 0.603 0.117 0.117  0.00
F: 0.709 0.098 0.709  0.00
F: 0.397 0.883 0.883  0.00
F: 0.098 0.709 0.709  0.00
Sn: 0.000 0.000 0.000  0.00
K: 0.627 0.627 0.627  0.00
K: 0.373 0.373 0.373  0.00
V: 0.500 0.000 0.000  2.21
V: 0.000 0.500 0.000  2.21
V: 0.000 0.000 0.500  2.21

The value obtained for the magnetic moment is 7.00 μB/f.u. The calculation puts the density of states at the Fermi level at 4.36 states/eV/f.u. The value obtained for the energy is -5.58 eV per atom.